1.
# SCAN MgNi3F, single point on PBEsol structure
data_MgNi3F
_cell_length_a 3.9572
_cell_length_b 3.9572
_cell_length_c 3.9572
_cell_angle_alpha 90.00
_cell_angle_beta 90.00
_cell_angle_gamma 90.00
_space_group_name_H-M_alt 'P m -3 m'
_space_group_IT_number 221
_space_group_name_Hall '-P 4 2 3'
loop_
_atom_site_label
_atom_site_type_symbol
_atom_site_fract_x
_atom_site_fract_y
_atom_site_fract_z
_atom_site_occupancy
Mg1 Mg 0.0000 0.0000 0.0000 1
Ni1 Ni 0.0000 0.5000 0.5000 1
F1 F 0.5000 0.5000 0.5000 1
# * E above lowest polymorph: 0.0000 eV per atom
# * magnetization: 0.00 μB per cell
# * N(E_F): 0.425 states/eV per atom
# * crystal system: cubic
# * raw formation energy: 0.18 eV/atom

2.
# SCAN LiNbFeO4, single point on PBEsol structure
data_LiNbFeO4
_cell_length_a 5.9218
_cell_length_b 6.1449
_cell_length_c 8.6015
_cell_angle_alpha 90.00
_cell_angle_beta 90.00
_cell_angle_gamma 90.00
_space_group_name_H-M_alt 'I m m a'
_space_group_IT_number 74
_space_group_name_Hall '-I 2b 2'
loop_
_atom_site_label
_atom_site_type_symbol
_atom_site_fract_x
_atom_site_fract_y
_atom_site_fract_z
_atom_site_occupancy
Li1 Li 0.0000 0.2500 0.1377 1
Nb1 Nb 0.0000 0.0000 0.5000 1
Fe1 Fe 0.2500 0.2500 0.7500 1
O1 O 0.0000 0.0233 0.7324 1
O2 O 0.2279 0.2500 0.4993 1
# * E above lowest polymorph: 0.0219 eV per atom
# * magnetization: 15.98 μB per cell
# * N(E_F): 0.235 states/eV per atom
# * crystal system: orthorhombic
# * raw formation energy: -2.23 eV/atom

3.
# SCAN Ta2AgRu, single point on PBEsol structure
data_Ta2AgRu
_cell_length_a 3.9136
_cell_length_b 3.9136
_cell_length_c 8.4300
_cell_angle_alpha 90.00
_cell_angle_beta 90.00
_cell_angle_gamma 90.00
_space_group_name_H-M_alt 'I -4 m 2'
_space_group_IT_number 119
_space_group_name_Hall 'I -4 -2'
loop_
_atom_site_label
_atom_site_type_symbol
_atom_site_fract_x
_atom_site_fract_y
_atom_site_fract_z
_atom_site_occupancy
Ta1 Ta 0.0000 0.0000 0.0000 1
Ta2 Ta 0.0000 0.5000 0.2500 1
Ag1 Ag 0.0000 0.0000 0.5000 1
Ru1 Ru 0.0000 0.5000 0.7500 1
# * E above lowest polymorph: 0.1388 eV per atom
# * magnetization: 0.00 μB per cell
# * N(E_F): 0.726 states/eV per atom
# * crystal system: tetragonal